! SrTa2CdAs (PBE, optimized geometry); values from VASP
! Total DFT energy (no corrections) = -0.3414 Ry/atom
! Crystal system = tetragonal
! ΔE_f = 1.545 eV per atom
&SYSTEM
  ibrav = 0, nat = 5, ntyp = 4
/
ATOMIC_SPECIES
Ta 180.95 Ta.upf
Cd 112.41 Cd.upf
As 74.92 As.upf
Sr 87.62 Sr.upf
CELL_PARAMETERS angstrom
-3.4824 2.4957 -2.8984
-2.1713 -4.7408 -1.4733
-3.2145 0.2146 4.0469
ATOMIC_POSITIONS crystal
Ta 0.5000 0.0000 0.0000
Ta 0.0000 0.0000 0.5000
Cd 0.0000 0.0000 0.0000
As 0.0000 0.5000 0.0000
Sr 0.5000 0.5000 0.5000

! SrTaCd2As (PBE, optimized geometry); values from VASP
! Total DFT energy (no corrections) = -0.1663 Ry/atom
! Crystal system = tetragonal
! ΔE_f = 1.740 eV per atom
&SYSTEM
  ibrav = 0, nat = 5, ntyp = 4
/
ATOMIC_SPECIES
Sr 87.62 Sr.upf
Ta 180.95 Ta.upf
Cd 112.41 Cd.upf
As 74.92 As.upf
CELL_PARAMETERS angstrom
5.5550 0.0000 0.0000
0.0000 5.4007 0.0000
0.0000 0.0000 5.5550
ATOMIC_POSITIONS crystal
Sr 0.0000 0.0000 0.0000
Ta 0.5000 0.5000 0.5000
Cd 0.0000 0.0000 0.5000
Cd 0.5000 0.0000 0.0000
As 0.0000 0.5000 0.0000

! Sr3U3CdAs8 (PBE, optimized geometry); values from VASP
! Total DFT energy (no corrections) = -0.4249 Ry/atom
! Crystal system = trigonal
! ΔE_f = -0.646 eV per atom
&SYSTEM
  ibrav = 0, nat = 15, ntyp = 4
/
ATOMIC_SPECIES
U 238.03 U.upf
As 74.92 As.upf
Cd 112.41 Cd.upf
Sr 87.62 Sr.upf
CELL_PARAMETERS angstrom
8.2753 -0.0008 -0.0001
-4.1383 7.1627 -0.0247
0.0004 -4.7480 7.2316
ATOMIC_POSITIONS crystal
U 0.5000 0.0000 0.5000
As 0.7486 0.4972 0.2800
As 0.7164 0.9684 0.7204
Cd 0.0000 0.0000 0.5000
Sr 0.0000 0.5000 0.0000
As 0.2607 0.5214 0.2822
U 0.5000 0.5000 0.5000
Sr 0.0000 0.0000 0.0000
Sr 0.5000 0.5000 0.0000
U 0.0000 0.5000 0.5000
As 0.7479 0.0316 0.2795
As 0.2836 0.0316 0.2796
As 0.2521 0.9684 0.7205
As 0.2514 0.5028 0.7200
As 0.7393 0.4786 0.7178

! SrYCdAs2 (PBE, optimized geometry); values from VASP
! Total DFT energy (no corrections) = -0.2405 Ry/atom
! Crystal system = tetragonal
! ΔE_f = 0.400 eV per atom
&SYSTEM
  ibrav = 0, nat = 5, ntyp = 4
/
ATOMIC_SPECIES
As 74.92 As.upf
Cd 112.41 Cd.upf
Y 88.91 Y.upf
Sr 87.62 Sr.upf
CELL_PARAMETERS angstrom
5.5231 0.0000 0.0000
0.0000 5.4899 0.0000
0.0000 0.0000 5.5231
ATOMIC_POSITIONS crystal
As 0.5000 0.0000 0.0000
Cd 0.0000 0.5000 0.0000
Y 0.5000 0.5000 0.5000
As 0.0000 0.0000 0.5000
Sr 0.0000 0.0000 0.0000

! SrZnCdAs2 (PBE, optimized geometry); values from VASP
! Total DFT energy (no corrections) = -0.2342 Ry/atom
! Crystal system = monoclinic
! ΔE_f = -0.552 eV per atom
&SYSTEM
  ibrav = 0, nat = 10, ntyp = 4
/
ATOMIC_SPECIES
Zn 65.41 Zn.upf
Sr 87.62 Sr.upf
Cd 112.41 Cd.upf
As 74.92 As.upf
CELL_PARAMETERS angstrom
-3.8557 1.0348 -1.6872
-4.9902 -1.0437 5.1970
-1.3827 8.2428 2.6487
ATOMIC_POSITIONS crystal
Zn 0.9414 0.8948 0.2223
Sr 0.1979 0.2542 0.3499
Cd 0.3684 0.3612 0.9021
Cd 0.6316 0.6388 0.0979
As 0.5817 0.2116 0.6249
Sr 0.8021 0.7458 0.6501
As 0.4183 0.7884 0.3751
As 0.8404 0.2390 0.0802
As 0.1596 0.7610 0.9198
Zn 0.0586 0.1052 0.7777

! Ta4CdAs (PBE, optimized geometry); values from VASP
! Total DFT energy (no corrections) = -0.6073 Ry/atom
! Crystal system = cubic
! ΔE_f = 0.567 eV per atom
&SYSTEM
  ibrav = 0, nat = 6, ntyp = 3
/
ATOMIC_SPECIES
As 74.92 As.upf
Ta 180.95 Ta.upf
Cd 112.41 Cd.upf
CELL_PARAMETERS angstrom
3.4677 -4.1737 1.0737
0.5803 -1.8507 5.1803
-1.9971 -4.9637 1.4036
ATOMIC_POSITIONS crystal
As 0.7500 0.7500 0.7500
Ta 0.3737 0.3737 0.3737
Cd 0.0000 0.0000 0.0000
Ta 0.8789 0.3737 0.3737
Ta 0.3737 0.3737 0.8789
Ta 0.3737 0.8789 0.3737

! TaCdAs2 (PBE, optimized geometry); values from VASP
! Total DFT energy (no corrections) = -0.4142 Ry/atom
! Crystal system = trigonal
! ΔE_f = -0.119 eV per atom
&SYSTEM
  ibrav = 0, nat = 4, ntyp = 3
/
ATOMIC_SPECIES
Cd 112.41 Cd.upf
As 74.92 As.upf
Ta 180.95 Ta.upf
CELL_PARAMETERS angstrom
-1.8951 7.1250 -4.3239
-2.6930 4.7538 -6.5729
-4.8989 5.6167 -4.1840
ATOMIC_POSITIONS crystal
Cd 0.2500 0.2500 0.2500
As 0.4889 0.4889 0.4889
As 0.0111 0.0111 0.0111
Ta 0.7500 0.7500 0.7500

! TaCd2As (PBE, optimized geometry); values from VASP
! Total DFT energy (no corrections) = -0.3177 Ry/atom
! Crystal system = monoclinic
! ΔE_f = 0.260 eV per atom
&SYSTEM
  ibrav = 0, nat = 4, ntyp = 3
/
ATOMIC_SPECIES
Cd 112.41 Cd.upf
As 74.92 As.upf
Ta 180.95 Ta.upf
CELL_PARAMETERS angstrom
5.2317 0.0000 0.0000
0.0000 2.8929 0.0571
0.0000 1.5419 5.2285
ATOMIC_POSITIONS crystal
Cd 0.0000 0.8388 0.9958
Cd 0.0000 0.6612 0.5042
As 0.5000 0.7500 0.7500
Ta 0.5000 0.2500 0.2500